Record 1
This record from the Alexandria database describes K2Ta3Se6 at its PBEsol-relaxed geometry. The functional is meta-GGA SCAN.

a b c (Å): 3.516 3.516 46.209
angles (deg): 90.00 90.00 120.00
Atoms (fractional coordinates):
1 K 0.000 0.000 0.324
2 K 0.000 0.000 0.676
3 K 0.000 0.000 0.000
4 K 0.667 0.333 0.500
5 Ta 0.667 0.333 0.237
6 Ta 0.667 0.333 0.588
7 Ta 0.667 0.333 0.912
8 Ta 0.667 0.333 0.412
9 Ta 0.667 0.333 0.763
10 Ta 0.667 0.333 0.088
11 Se 0.333 0.667 0.202
12 Se 0.333 0.667 0.553
13 Se 0.333 0.667 0.878
14 Se 0.333 0.667 0.447
15 Se 0.333 0.667 0.798
16 Se 0.333 0.667 0.122
17 Se 0.333 0.667 0.272
18 Se 0.333 0.667 0.623
19 Se 0.333 0.667 0.948
20 Se 0.333 0.667 0.377
21 Se 0.333 0.667 0.728
22 Se 0.333 0.667 0.052

Properties
Uncorrected formation energy in eV per formula unit: -10.566
DOS(E_F) in states/eV/cell: 6.83
Energy in eV/atom: -31.5858
Spin magnetization in μB per cell: 0.000
Space group: P-6m2 (187)



Record 2
This record from the Alexandria database describes KTaSe at its PBEsol-relaxed geometry. The functional is meta-GGA SCAN.

a b c (Å): 4.939 4.939 4.939
angles (deg): 60.00 60.00 60.00
Atoms (fractional coordinates):
1 K 0.250 0.250 0.250
2 Se 0.000 0.000 0.000
3 Ta 0.500 0.500 0.500

Properties
Uncorrected formation energy in eV per formula unit: 4.857
DOS(E_F) in states/eV/cell: 0.93
Energy in eV/atom: -30.0447
Spin magnetization in μB per cell: 3.991
Space group: F-43m (216)



Record 3
This record from the Alexandria database describes K2Tc3Se6 at its PBEsol-relaxed geometry. The functional is meta-GGA SCAN.

a b c (Å): 9.896 9.896 12.242
angles (deg): 88.79 88.79 60.44
Atoms (fractional coordinates):
1 K 0.395 0.605 0.750
2 K 0.605 0.395 0.250
3 K 0.781 0.219 0.750
4 K 0.219 0.781 0.250
5 K 0.649 0.123 0.019
6 K 0.877 0.351 0.481
7 K 0.351 0.877 0.981
8 K 0.123 0.649 0.519
9 Se 0.249 0.076 0.331
10 Se 0.924 0.751 0.169
11 Se 0.751 0.924 0.669
12 Se 0.076 0.249 0.831
13 Se 0.713 0.800 0.928
14 Se 0.200 0.287 0.572
15 Se 0.287 0.200 0.072
16 Se 0.800 0.713 0.428
17 Se 0.609 0.060 0.278
18 Se 0.940 0.391 0.222
19 Se 0.391 0.940 0.722
20 Se 0.060 0.609 0.778
21 Se 0.553 0.281 0.519
22 Se 0.719 0.447 0.981
23 Se 0.447 0.719 0.481
24 Se 0.281 0.553 0.019
25 Se 0.997 0.066 0.083
26 Se 0.934 0.003 0.417
27 Se 0.003 0.934 0.917
28 Se 0.066 0.997 0.583
29 Se 0.442 0.263 0.806
30 Se 0.737 0.558 0.694
31 Se 0.558 0.737 0.194
32 Se 0.263 0.442 0.306
33 Tc 0.314 0.005 0.527
34 Tc 0.995 0.686 0.973
35 Tc 0.686 0.995 0.473
36 Tc 0.005 0.314 0.027
37 Tc 0.472 0.112 0.626
38 Tc 0.888 0.528 0.874
39 Tc 0.528 0.888 0.374
40 Tc 0.112 0.472 0.126
41 Tc 0.602 0.816 0.581
42 Tc 0.184 0.398 0.919
43 Tc 0.398 0.184 0.419
44 Tc 0.816 0.602 0.081

Properties
Uncorrected formation energy in eV per formula unit: -9.526
Energy in eV/atom: -22.8940
Spin magnetization in μB per cell: 0.000
Space group: C2/c (15)



Record 4
This record from the Alexandria database describes KTc2Se at its PBEsol-relaxed geometry. The functional is meta-GGA SCAN.

a b c (Å): 2.949 3.633 7.608
angles (deg): 90.00 90.00 90.00
Atoms (fractional coordinates):
1 K 0.000 0.000 0.513
2 Se 0.500 0.500 0.825
3 Tc 0.000 0.000 0.012
4 Tc 0.500 0.500 0.150

Properties
Uncorrected formation energy in eV per formula unit: 1.310
DOS(E_F) in states/eV/cell: 3.28
Energy in eV/atom: -24.3043
Spin magnetization in μB per cell: 0.001
Space group: Pmm2 (25)



Record 5
This record from the Alexandria database describes K3TcSe at its PBEsol-relaxed geometry. The functional is meta-GGA SCAN.

a b c (Å): 6.151 6.151 6.151
angles (deg): 90.00 90.00 90.00
Atoms (fractional coordinates):
1 K 0.000 0.500 0.000
2 K 0.000 0.000 0.500
3 K 0.500 0.000 0.000
4 Tc 0.500 0.500 0.500
5 Se 0.000 0.000 0.000

Properties
Uncorrected formation energy in eV per formula unit: 1.666
DOS(E_F) in states/eV/cell: 4.92
Energy in eV/atom: -15.6917
Spin magnetization in μB per cell: 3.999
Space group: Pm-3m (221)



Record 6
This record from the Alexandria database describes KTc3Se at its PBEsol-relaxed geometry. The functional is meta-GGA SCAN.

a b c (Å): 4.455 4.455 4.455
angles (deg): 90.00 90.00 90.00
Atoms (fractional coordinates):
1 K 0.000 0.000 0.000
2 Tc 0.000 0.500 0.000
3 Tc 0.000 0.000 0.500
4 Tc 0.500 0.000 0.000
5 Se 0.500 0.500 0.500

Properties
Uncorrected formation energy in eV per formula unit: 16.830
DOS(E_F) in states/eV/cell: 5.79
Energy in eV/atom: -23.3515
Spin magnetization in μB per cell: 3.139
Space group: Pm-3m (221)



Record 7
This record from the Alexandria database describes KTeSe2 at its PBEsol-relaxed geometry. The functional is meta-GGA SCAN.

a b c (Å): 4.172 4.398 6.608
angles (deg): 90.11 108.40 90.00
Atoms (fractional coordinates):
1 K 0.729 0.874 0.458
2 Te 0.481 0.376 0.962
3 Se 0.005 0.876 0.011
4 Se 0.284 0.374 0.569

Properties
Uncorrected formation energy in eV per formula unit: -2.250
DOS(E_F) in states/eV/cell: 1.12
Energy in eV/atom: -21.9966
Spin magnetization in μB per cell: 0.000
Space group: Cm (8)



Record 8
This record from the Alexandria database describes KTeSe2 at its PBEsol-relaxed geometry. The functional is meta-GGA SCAN.

a b c (Å): 4.286 4.286 6.733
angles (deg): 90.00 90.00 90.00
Atoms (fractional coordinates):
1 K 0.500 0.500 0.857
2 Te 0.000 0.000 0.322
3 Se 0.000 0.000 0.956
4 Se 0.500 0.500 0.365

Properties
Uncorrected formation energy in eV per formula unit: -2.194
DOS(E_F) in states/eV/cell: 1.25
Energy in eV/atom: -21.9827
Spin magnetization in μB per cell: 0.000
Space group: P4mm (99)



Record 9
This record from the Alexandria database describes KTeSe2 at its PBEsol-relaxed geometry. The functional is meta-GGA SCAN.

a b c (Å): 3.988 5.943 5.943
angles (deg): 64.25 70.39 70.39
Atoms (fractional coordinates):
1 K 0.000 0.500 0.500
2 Se 0.203 0.797 0.797
3 Se 0.797 0.203 0.203
4 Te 0.500 0.000 0.000

Properties
Uncorrected formation energy in eV per formula unit: -2.047
DOS(E_F) in states/eV/cell: 1.45
Energy in eV/atom: -21.9459
Spin magnetization in μB per cell: 0.000
Space group: Immm (71)



Record 10
This record from the Alexandria database describes KTeSe2 at its PBEsol-relaxed geometry. The functional is meta-GGA SCAN.

a b c (Å): 3.869 4.046 7.581
angles (deg): 89.98 90.00 90.00
Atoms (fractional coordinates):
1 K 0.500 0.500 0.000
2 Te 0.500 0.000 0.500
3 Se 0.000 0.000 0.756
4 Se 0.000 0.000 0.244

Properties
Uncorrected formation energy in eV per formula unit: -2.246
DOS(E_F) in states/eV/cell: 1.81
Energy in eV/atom: -21.9958
Spin magnetization in μB per cell: 0.000
Space group: Pmmm (47)



Record 11
This record from the Alexandria database describes K2TeSe3 at its PBEsol-relaxed geometry. The functional is meta-GGA SCAN.

a b c (Å): 6.543 10.104 13.058
angles (deg): 106.60 90.00 90.00
Atoms (fractional coordinates):
1 K 0.754 0.511 0.126
2 K 0.254 0.489 0.374
3 K 0.246 0.489 0.874
4 K 0.746 0.511 0.626
5 K 0.255 0.162 0.043
6 K 0.755 0.838 0.457
7 K 0.745 0.838 0.957
8 K 0.245 0.162 0.543
9 Se 0.258 0.536 0.135
10 Se 0.758 0.464 0.365
11 Se 0.742 0.464 0.865
12 Se 0.242 0.536 0.635
13 Se 0.255 0.823 0.484
14 Se 0.755 0.177 0.016
15 Se 0.745 0.177 0.516
16 Se 0.245 0.823 0.984
17 Se 0.657 0.849 0.208
18 Se 0.157 0.151 0.292
19 Se 0.343 0.151 0.792
20 Se 0.843 0.849 0.708
21 Te 0.285 0.794 0.168
22 Te 0.785 0.206 0.332
23 Te 0.715 0.206 0.832
24 Te 0.215 0.794 0.668

Properties
Uncorrected formation energy in eV per formula unit: -5.017
DOS(E_F) in states/eV/cell: 0.00
Energy in eV/atom: -19.8601
Spin magnetization in μB per cell: 0.000
Space group: P2_1/c (14)